No. 1
Compound: Sr2CaCu
Source: Alexandria via LeMat-Bulk
Functional: PBEsol
Structure: relaxed

Cell lengths 3.789, 3.789, 9.726 Å; angles 90.00, 90.00, 90.00 degrees
Element x y z (fractional)
Sr 0.000 0.000 0.684
Sr 0.000 0.000 0.316
Ca 0.500 0.500 0.000
Cu 0.500 0.500 0.500

Results
ΔH_f (0 K) = 0.2 eV per formula unit
Polymorph energy (0 for the lowest one) = 4.9 meV/atom

No. 2
Compound: HfSiO4
Source: Alexandria via LeMat-Bulk
Functional: PBEsol
Structure: relaxed

Cell lengths 5.514, 5.514, 5.514 Å; angles 106.97, 106.97, 114.59 degrees
Element x y z (fractional)
Hf 0.250 0.750 0.500
Hf 0.000 0.000 0.000
Si 0.500 0.500 0.000
Si 0.750 0.250 0.500
O 0.933 0.247 0.315
O 0.497 0.683 0.815
O 0.868 0.683 0.185
O 0.933 0.618 0.685
O 0.753 0.067 0.685
O 0.317 0.503 0.185
O 0.317 0.132 0.815
O 0.382 0.067 0.315

Results
Formation energy from raw total energies = -3246.5 meV/atom

No. 3
Compound: BaHfCuOs2
Source: Alexandria via LeMat-Bulk
Functional: PBEsol
Structure: relaxed

Cell lengths 4.679, 4.679, 4.834 Å; angles 90.00, 90.00, 90.00 degrees
Element x y z (fractional)
Hf 0.500 0.500 0.500
Os 0.000 0.500 0.000
Os 0.500 0.000 0.000
Ba 0.000 0.000 0.500
Cu 0.000 0.000 0.000

Results
ΔH_f (0 K) = 8.6 eV per formula unit

No. 4
Compound: Ta2BeCd
Source: Alexandria via LeMat-Bulk
Functional: PBEsol
Structure: relaxed

Cell lengths 2.810, 2.810, 8.085 Å; angles 90.00, 90.00, 96.15 degrees
Element x y z (fractional)
Be 0.000 0.000 0.502
Cd 0.500 0.500 0.287
Ta 0.000 0.000 0.998
Ta 0.500 0.500 0.713

Results
ΔH_f (0 K) = 0.7 eV per formula unit
Polymorph energy (0 for the lowest one) = 0.0 meV/atom